First-principles (GGA-PBEsol) data for crystalline TaIr2Br at its relaxed geometry, as listed in Alexandria.

Cell and atoms, written as POSCAR:
```
TaIr2Br
1.0
2.729 -4.633 0.000
2.729 4.633 0.000
-1.422 0.000 2.516
Ta Ir Br
1 2 1
Direct
0.000 0.000 0.000
0.000 0.500 0.500
0.500 0.000 0.500
0.500 0.500 0.000
```

Values from the calculation:
Total DFT energy (no corrections), eV/atom: -7.99
Uncorrected formation energy, eV per atom: 0.528
Fermi-level density of states, states/eV per cell: 2.653
Energy above the most stable polymorph in this dataset, meV/atom: 286
Total magnetic moment, μB/f.u.: 0.000